1.
SrTa2TiCo | the Alexandria database | PBE | optimized geometry; ΔH_f (0 K) = 2.5348 eV/atom; final energy = -27.714 eV/cell
1.0
4.9460 0.0000 0.0000
0.0000 4.3548 0.0000
0.0000 0.0000 4.9460
Sr Ti Co Ta
1 1 1 2
direct
0.0000 0.0000 0.0000
0.5000 0.5000 0.5000
0.0000 0.5000 0.0000
0.0000 0.0000 0.5000
0.5000 0.0000 0.0000

***

2.
CsAsF3 | the Alexandria database | PBE | optimized geometry; final energy = -42.621 eV/cell; formation energy without anion corrections = -2038.7 meV/atom
1.0
6.0490 0.0000 0.0000
0.0000 6.0490 0.0000
3.0245 3.0245 5.7926
Cs As F
2 2 6
direct
0.7500 0.2500 0.5000
0.2500 0.7500 0.5000
0.5000 0.5000 0.0000
0.0000 0.0000 0.0000
0.1743 0.1743 0.6515
0.8257 0.8257 0.3485
0.2437 0.2437 0.0000
0.7563 0.7563 0.0000
0.7563 0.2437 0.0000
0.2437 0.7563 0.0000

***

3.
Na6Au | the Alexandria database | PBE | optimized geometry; ΔH_f (0 K) = 0.5068 eV/atom; final energy = -7.644 eV/cell
1.0
7.6403 0.0000 0.0000
-2.5468 7.2033 0.0000
-2.5468 -3.6017 6.2383
Na Au
6 1
direct
0.2500 0.7500 0.5000
0.5000 0.7500 0.2500
0.2500 0.5000 0.7500
0.7500 0.2500 0.5000
0.5000 0.2500 0.7500
0.7500 0.5000 0.2500
0.0000 0.0000 0.0000

***

4.
Cs2NpCuS6 | the Alexandria database | PBE | optimized geometry; final energy = -49.710 eV/cell; formation energy without anion corrections = -620.1 meV/atom
1.0
7.1225 0.0000 0.0000
3.5612 6.1683 0.0000
3.5612 2.0561 5.8155
Cs Np Cu S
2 1 1 6
direct
0.7500 0.7500 0.7500
0.2500 0.2500 0.2500
0.5000 0.5000 0.5000
0.0000 0.0000 0.0000
0.2518 0.7482 0.7482
0.2518 0.7482 0.2518
0.2518 0.2518 0.7482
0.7482 0.7482 0.2518
0.7482 0.2518 0.2518
0.7482 0.2518 0.7482

***

5.
BC3 | the Alexandria database | PBE | optimized geometry; ΔH_f (0 K) = 0.2992 eV/atom; final energy = -99.457 eV/cell
1.0
2.5169 0.0000 0.0000
0.0000 3.7536 0.0333
0.0000 0.0693 7.8635
B C
3 9
direct
0.5000 0.5375 0.1682
0.0000 0.2060 0.1599
0.5000 0.5132 0.5063
0.0000 0.9870 0.9873
0.5000 0.7517 0.9865
0.0000 0.2267 0.5051
0.0000 0.9937 0.3504
0.5000 0.7751 0.3325
0.5000 0.4961 0.8299
0.0000 0.2549 0.8304
0.0000 0.0012 0.6705
0.5000 0.7571 0.6729

***

6.
Tb2PrIrO8 | the Alexandria database | PBE | optimized geometry; final energy = -90.175 eV/cell; formation energy without anion corrections = -2300.7 meV/atom
1.0
-2.4385 -2.7288 -3.5649
-0.2298 -3.9908 3.1628
-6.0885 2.2726 2.4252
Tb Pr Ir O
2 1 1 8
direct
0.5000 0.5000 0.7499
0.5000 0.5000 0.2501
0.0000 0.0000 0.5000
0.0000 0.0000 0.0000
0.1849 0.8134 0.2023
0.7347 0.7360 0.0000
0.8152 0.1866 0.2023
0.8151 0.1866 0.7977
0.2653 0.2640 0.0000
0.1848 0.8134 0.7977
0.6830 0.6841 0.5000
0.3170 0.3159 0.5000

***

7.
YPd2Pb2 | the Alexandria database | PBE | optimized geometry; ΔH_f (0 K) = -0.5420 eV/atom; final energy = -53.953 eV/cell
1.0
-4.6286 -0.1674 1.6538
1.6189 -0.0833 4.5223
-0.2657 10.0506 0.2736
Y Pd Pb
2 4 4
direct
0.7500 0.2501 0.6749
0.2500 0.7499 0.3251
0.2500 0.2508 0.4934
0.7500 0.7495 0.1705
0.2500 0.2505 0.8295
0.7500 0.7492 0.5066
0.7500 0.2497 0.0069
0.2500 0.7506 0.6649
0.2500 0.7503 0.9931
0.7500 0.2494 0.3351

***

8.
MgSiSN2 | the Alexandria database | PBE | optimized geometry; final energy = -28.036 eV/cell; formation energy without anion corrections = -48.0 meV/atom
1.0
-1.8919 -1.9878 -2.1255
2.9083 -1.2013 -1.4652
0.1694 -4.2225 3.7982
Mg S Si N
1 1 1 2
direct
0.5000 0.5000 0.5000
0.0000 0.0000 0.5000
0.0000 0.0000 0.0000
0.0000 0.5000 0.0000
0.5000 0.0000 0.0000

***

9.
YNbBr2 | the Alexandria database | PBE | optimized geometry; final energy = -20.098 eV/cell; formation energy without anion corrections = -54.6 meV/atom
1.0
0.0000 3.4967 3.4967
3.4967 0.0000 3.4967
3.4967 3.4967 0.0000
Y Nb Br
1 1 2
direct
0.0000 0.0000 0.0000
0.5000 0.5000 0.5000
0.2500 0.2500 0.2500
0.7500 0.7500 0.7500

***

10.
MgReTe2Pt | the Alexandria database | PBE | optimized geometry; final energy = -17.996 eV/cell; formation energy without anion corrections = 1674.2 meV/atom
1.0
5.1068 0.0000 0.0000
0.0000 4.8886 0.0000
0.0000 0.0000 5.1068
Re Mg Te Pt
1 1 2 1
direct
0.0000 0.5000 0.0000
0.0000 0.0000 0.0000
0.0000 0.0000 0.5000
0.5000 0.0000 0.0000
0.5000 0.5000 0.5000

***

11.
Er5In2HgIr2 | the Alexandria database | PBE | optimized geometry; ΔH_f (0 K) = -0.5952 eV/atom; final energy = -104.533 eV/cell
1.0
3.6041 0.0000 0.0000
0.0000 11.8384 0.0000
0.0000 0.0000 11.8384
Er In Hg Ir
10 4 2 4
direct
0.5000 0.2056 0.0747
0.5000 0.7944 0.9253
0.5000 0.0747 0.7944
0.5000 0.7056 0.4253
0.5000 0.9253 0.2056
0.5000 0.2944 0.5747
0.5000 0.5747 0.7056
0.5000 0.4253 0.2944
0.5000 0.5000 0.0000
0.5000 0.0000 0.5000
0.0000 0.6751 0.1751
0.0000 0.3249 0.8249
0.0000 0.1751 0.3249
0.0000 0.8249 0.6751
0.0000 0.0000 0.0000
0.0000 0.5000 0.5000
0.0000 0.1320 0.6320
0.0000 0.8680 0.3680
0.0000 0.6320 0.8680
0.0000 0.3680 0.1320

***

12.
Ba3HgF | the Alexandria database | PBE | optimized geometry; final energy = -13.770 eV/cell; formation energy without anion corrections = -1165.8 meV/atom
1.0
-2.2376 -5.1302 0.4303
5.1483 -2.2303 0.1809
0.0056 0.4667 5.5941
F Hg Ba
1 1 3
direct
0.0000 0.0000 0.0000
0.5000 0.5000 0.5000
0.0000 0.5000 0.0000
0.0000 0.0000 0.5000
0.5000 0.0000 0.0000

***

> Which of these has the highest final energy?

Na6Au

***

> Look up the final energy of the tenth one.

-17.996 eV/cell

***

> Among the records above, which one has the lowest final energy?

Er5In2HgIr2